{
  "formula": "K3TaW",
  "functional": "PBE",
  "state": "relaxed",
  "lattice_angstrom": [[-3.4726, -2.8752, 4.0677], [3.9888, -4.5752, 0.1713], [2.9837, 2.7700, 4.5052]],
  "species": ["K", "K", "K", "W", "Ta"],
  "fractional_positions": [[0.5000, 0.0000, 0.0000], [0.0000, 0.0000, 0.5000], [0.0000, 0.5000, 0.0000], [0.5000, 0.5000, 0.5000], [0.0000, 0.0000, 0.0000]],
  "magnetic_moment_mub_per_fu": 0.000,
  "space_group": "Pm-3m",
  "dft_energy_ev_per_atom": -2.33,
  "density_g_cm3": 3.6
}